# 1
SrCu4Ag3Br12 | GGA-PBE | relaxed

Cell and atoms, written as POSCAR:
```
SrCu4Ag3Br12
1.0
7.1331 4.1183 3.5784
-7.1331 4.1183 3.5784
0.0000 -8.2366 3.5784
Sr Cu Ag Br
1 4 3 12
Direct
0.0000 0.0000 0.0000 Sr
0.0767 0.5000 0.9233 Cu
0.5000 0.5000 0.5000 Cu
0.5000 0.9233 0.0767 Cu
0.9233 0.0767 0.5000 Cu
0.0000 0.5682 0.4318 Ag
0.4318 0.0000 0.5682 Ag
0.5682 0.4318 0.0000 Ag
0.0197 0.6665 0.7743 Br
0.0887 0.9113 0.5000 Br
0.2257 0.3335 0.9803 Br
0.3335 0.9803 0.2257 Br
0.3370 0.6630 0.5000 Br
0.5000 0.0887 0.9113 Br
0.5000 0.3370 0.6630 Br
0.6630 0.5000 0.3370 Br
0.6665 0.7743 0.0197 Br
0.7743 0.0197 0.6665 Br
0.9113 0.5000 0.0887 Br
0.9803 0.2257 0.3335 Br
```

## Properties
Space-group type: R32 (155)
Uncorrected formation energy (meV per atom): -509

# 2
SrCuAgBr5 | GGA-PBE | relaxed

Cell and atoms, written as POSCAR:
```
SrCuAgBr5
1.0
4.3392 -6.4306 0.0000
4.3392 6.4306 0.0000
-3.9217 0.0000 8.9658
Sr Cu Ag Br
2 2 2 10
Direct
0.1832 0.8168 0.7500 Sr
0.8168 0.1832 0.2500 Sr
0.1520 0.8480 0.2500 Cu
0.8480 0.1520 0.7500 Cu
0.5000 0.5000 0.0000 Ag
0.5000 0.5000 0.5000 Ag
0.1439 0.1926 0.9296 Br
0.1707 0.6404 0.4031 Br
0.1926 0.1439 0.4296 Br
0.3596 0.8293 0.0969 Br
0.4221 0.5779 0.7500 Br
0.5779 0.4221 0.2500 Br
0.6404 0.1707 0.9031 Br
0.8074 0.8561 0.5704 Br
0.8293 0.3596 0.5969 Br
0.8561 0.8074 0.0704 Br
```

## Properties
Space-group type: C2/c (15)
Uncorrected formation energy (meV per atom): -941

# 3
Cu2TcAgBr | GGA-PBE | relaxed

Cell and atoms, written as POSCAR:
```
Cu2TcAgBr
1.0
4.7804 0.0000 0.0000
0.0000 4.7804 0.0000
0.0000 0.0000 5.1630
Cu Tc Ag Br
2 1 1 1
Direct
0.0000 0.5000 0.0000 Cu
0.5000 0.0000 0.0000 Cu
0.0000 0.0000 0.5000 Tc
0.0000 0.0000 0.0000 Ag
0.5000 0.5000 0.5000 Br
```

## Properties
Space-group type: P4/mmm (123)
Uncorrected formation energy (meV per atom): 1282

# 4
TlCu4Ag3Br12 | GGA-PBE | relaxed

Cell and atoms, written as POSCAR:
```
TlCu4Ag3Br12
1.0
7.1497 4.1279 3.6017
-7.1497 4.1279 3.6017
0.0000 -8.2558 3.6017
Tl Cu Ag Br
1 4 3 12
Direct
0.0000 0.0000 0.0000 Tl
0.0777 0.5000 0.9223 Cu
0.5000 0.5000 0.5000 Cu
0.5000 0.9223 0.0777 Cu
0.9223 0.0777 0.5000 Cu
0.0000 0.5670 0.4330 Ag
0.4330 0.0000 0.5670 Ag
0.5670 0.4330 0.0000 Ag
0.0150 0.6489 0.7589 Br
0.0875 0.9125 0.5000 Br
0.2411 0.3511 0.9850 Br
0.3369 0.6631 0.5000 Br
0.3511 0.9850 0.2411 Br
0.5000 0.0875 0.9125 Br
0.5000 0.3369 0.6631 Br
0.6489 0.7589 0.0150 Br
0.6631 0.5000 0.3369 Br
0.7589 0.0150 0.6489 Br
0.9125 0.5000 0.0875 Br
0.9850 0.2411 0.3511 Br
```

## Properties
Space-group type: R32 (155)
Uncorrected formation energy (meV per atom): -308

uncorrected formation energy of number 4 (TlCu4Ag3Br12)?
-308 meV per atom

Please write out number 4 again, unchanged.
TlCu4Ag3Br12 | GGA-PBE | relaxed

Cell and atoms, written as POSCAR:
```
TlCu4Ag3Br12
1.0
7.1497 4.1279 3.6017
-7.1497 4.1279 3.6017
0.0000 -8.2558 3.6017
Tl Cu Ag Br
1 4 3 12
Direct
0.0000 0.0000 0.0000 Tl
0.0777 0.5000 0.9223 Cu
0.5000 0.5000 0.5000 Cu
0.5000 0.9223 0.0777 Cu
0.9223 0.0777 0.5000 Cu
0.0000 0.5670 0.4330 Ag
0.4330 0.0000 0.5670 Ag
0.5670 0.4330 0.0000 Ag
0.0150 0.6489 0.7589 Br
0.0875 0.9125 0.5000 Br
0.2411 0.3511 0.9850 Br
0.3369 0.6631 0.5000 Br
0.3511 0.9850 0.2411 Br
0.5000 0.0875 0.9125 Br
0.5000 0.3369 0.6631 Br
0.6489 0.7589 0.0150 Br
0.6631 0.5000 0.3369 Br
0.7589 0.0150 0.6489 Br
0.9125 0.5000 0.0875 Br
0.9850 0.2411 0.3511 Br
```

## Properties
Space-group type: R32 (155)
Uncorrected formation energy (meV per atom): -308

Which of these has the lowest uncorrected formation energy?
SrCuAgBr5

Please write out number 3 again, unchanged.
Cu2TcAgBr | GGA-PBE | relaxed

Cell and atoms, written as POSCAR:
```
Cu2TcAgBr
1.0
4.7804 0.0000 0.0000
0.0000 4.7804 0.0000
0.0000 0.0000 5.1630
Cu Tc Ag Br
2 1 1 1
Direct
0.0000 0.5000 0.0000 Cu
0.5000 0.0000 0.0000 Cu
0.0000 0.0000 0.5000 Tc
0.0000 0.0000 0.0000 Ag
0.5000 0.5000 0.5000 Br
```

## Properties
Space-group type: P4/mmm (123)
Uncorrected formation energy (meV per atom): 1282